This record from the Alexandria database describes a geometry-optimized ErThFeAg structure. The functional is GGA-PBE.

The density of states at the Fermi level is 0.8176 states/eV per atom. The calculation puts the formation energy at 0.012 eV per atom. The uncorrected energy comes out at -92.99 eV/cell.

The space group is F-43m (No. 216) and the conventional cell measures 7.128, 7.128 and 7.128 Å, with angles of 90.00, 90.00 and 90.00 degrees. Symmetry generates all atoms from Er at (0.000, 0.000, 0.000), Th at (0.000, 0.000, 0.500), Fe at (0.250, 0.250, 0.750) and Ag at (0.250, 0.250, 0.250).


This record from the Alexandria database describes a geometry-optimized ScPIr2 structure. The functional is GGA-PBE.

The density of states at the Fermi level is 0.5252 states/eV per atom. The calculation puts the formation energy at -0.497 eV per atom. The uncorrected energy comes out at -31.45 eV/cell.

The space group is Pmm2 (No. 25) and the conventional cell measures 2.997, 3.778 and 5.555 Å, with angles of 90.00, 90.00 and 90.00 degrees. Symmetry generates all atoms from Sc at (0.000, 0.000, 0.000), P at (0.500, 0.500, 0.656), Ir at (0.000, 0.000, 0.525) and Ir at (0.500, 0.500, 0.229).


This record from the Alexandria database describes a geometry-optimized Nd4ErTm8 structure. The functional is GGA-PBE.

The density of states at the Fermi level is 1.6523 states/eV per atom. The calculation puts the formation energy at 0.526 eV per atom. The uncorrected energy comes out at -157.71 eV/cell.

The space group is R-3m (No. 166, hexagonal axes) and the conventional cell measures 10.9605, 10.9605 and 13.4103 Å, with angles of 90.00, 90.00 and 120.00 degrees. Symmetry generates all atoms from Nd at (0.0000, 0.0000, 0.0000), Nd at (0.0000, 0.5000, 0.0000), Er at (0.0000, 0.0000, 0.5000), Tm at (0.0000, 0.0000, 0.2407) and Tm at (0.0122, 0.5061, 0.7468).


| no. | magnetic moment (μB/f.u.) |
| --- | --- |
| 1 | 1.1 |
| 2 | 0.0 |
| 3 | 1.9 |